# ZrSbCI2 PBE optimized geometry
data_ZrSbCI2
_cell_length_a 5.659
_cell_length_b 5.659
_cell_length_c 5.737
_cell_angle_alpha 90.00
_cell_angle_beta 90.00
_cell_angle_gamma 90.00
_space_group_name_H-M_alt 'P 1'
_space_group_IT_number 1
loop_
_space_group_symop_operation_xyz
'x,y,z'
loop_
_atom_site_label
_atom_site_fract_x
_atom_site_fract_y
_atom_site_fract_z
_atom_site_occupancy
Sb1 0.000 0.000 0.500 1
I1 0.500 0.000 0.000 1
I2 0.000 0.500 0.000 1
C1 0.500 0.500 0.500 1
Zr1 0.000 0.000 0.000 1
# Uncorrected formation energy = 1269.7 meV per atom
# E = -18.646 eV per cell
# E above lowest polymorph = 209 meV per atom
# SG = No. 123
# Density of states at the Fermi level = 1.577 states/eV per atom